Crystalline As2HIrSe at its relaxed geometry, computed with GGA-PBE.

Cell: 3.974 3.974 4.672 Å, 90.00 90.00 90.00°
Fractional positions:
H1 0.000 0.000 0.000
Ir1 0.500 0.500 0.500
Se1 0.000 0.000 0.500
As1 0.500 0.000 0.000
As2 0.000 0.500 0.000

**E**: -0.156 Ha/atom
**SG**: No. 123


Crystalline Ce2CdIn4 at its relaxed geometry, computed with GGA-PBE.

Cell: 10.482 6.347 6.713 Å, 118.21 90.00 90.00°
Site moments in Bohr magnetons follow the coordinates.
Fractional positions:
Cd1 0.000 0.000 0.000  0.00
In1 0.750 0.750 0.000  0.00
In2 0.250 0.500 0.500  0.01
In3 0.250 0.000 0.500  0.01
Cd2 0.500 0.500 0.000  0.00
Ce1 0.500 0.115 0.231  0.68
In4 0.750 0.000 0.500  0.01
In5 0.750 0.500 0.500  0.01
Ce2 0.500 0.885 0.769  0.68
Ce3 0.000 0.615 0.231  0.68
In6 0.750 0.250 0.000  0.00
In7 0.250 0.750 0.000  0.00
Ce4 0.000 0.385 0.769  0.68
In8 0.250 0.250 0.000  0.00

**E**: -0.130 Ha/atom
**ΔH_f (0 K)**: -0.15 eV/atom
**SG**: No. 69


Crystalline ScPaTi at its relaxed geometry, computed with GGA-PBE.

Cell: 4.918 4.918 7.419 Å, 70.64 70.64 60.00°
Fractional positions:
Ti1 0.299 0.299 0.104
Pa1 0.422 0.422 0.734
Sc1 0.849 0.849 0.454
Ti2 0.701 0.701 0.896
Sc2 0.151 0.151 0.546
Pa2 0.578 0.578 0.266

**E**: -0.267 Ha/atom
**ΔH_f (0 K)**: 0.65 eV/atom
**SG**: No. 166


Crystalline Ac8GeTe4Rh3 at its relaxed geometry, computed with GGA-PBE.

Cell: 8.976 9.476 8.976 Å, 118.27 120.00 90.00°
Fractional positions:
Ac1 0.739 0.717 0.478
Rh1 0.500 0.500 0.500
Ac2 0.728 0.710 0.969
Te1 0.500 0.000 0.000
Ac3 0.241 0.710 0.483
Ac4 0.272 0.290 0.031
Te2 0.000 0.000 0.500
Ac5 0.261 0.283 0.522
Ge1 0.000 0.500 0.000
Ac6 0.241 0.710 0.969
Rh2 0.500 0.500 0.000
Rh3 0.000 0.500 0.500
Te3 0.000 0.000 0.000
Te4 0.500 0.000 0.500
Ac7 0.759 0.290 0.517
Ac8 0.759 0.290 0.031

**E**: -0.206 Ha/atom
**Raw formation energy**: -1.11 eV/atom
**SG**: No. 166


Crystalline Sr2LaSb at its relaxed geometry, computed with GGA-PBE.

Cell: 5.122 5.123 5.403 Å, 90.00 90.00 90.00°
Site moments in Bohr magnetons follow the coordinates.
Fractional positions:
Sb1 0.000 0.500 0.500  -0.01
La1 0.500 0.000 0.500  0.21
Sr1 0.000 0.000 0.000  0.05
Sr2 0.500 0.500 0.000  0.05

**E**: -0.129 Ha/atom
**Raw formation energy**: -0.40 eV/atom
**SG**: No. 123


Crystalline PaSbO at its relaxed geometry, computed with GGA-PBE.

Cell: 3.344 3.345 15.328 Å, 90.00 90.00 120.00°
Site moments in Bohr magnetons follow the coordinates.
Fractional positions:
O1 0.612 0.224 0.580  -0.01
Pa1 0.610 0.220 0.000  0.00
Pa2 0.279 0.558 0.500  0.56
Sb1 0.277 0.554 0.823  0.00
Sb2 0.277 0.554 0.177  0.00
O2 0.612 0.224 0.420  -0.01

**E**: -0.281 Ha/atom
**Raw formation energy**: -1.46 eV/atom
**SG**: No. 38


Crystalline PrBrCl at its relaxed geometry, computed with GGA-PBE.

Cell: 3.987 3.987 7.434 Å, 90.00 90.00 120.00°
Fractional positions:
Br1 0.000 0.000 0.083
Pr1 0.667 0.333 0.342
Cl1 0.333 0.667 0.575

**E**: -0.168 Ha/atom
**Raw formation energy**: -1.81 eV/atom
**SG**: No. 156


Crystalline InCu3Au3 at its relaxed geometry, computed with GGA-PBE.

Cell: 7.008 7.008 7.008 Å, 90.00 90.00 90.00°
Fractional positions:
Cu1 0.250 0.000 0.500
Au1 0.750 0.500 0.000
In1 0.000 0.000 0.000
Cu2 0.000 0.500 0.250
Cu3 0.500 0.750 0.000
Au2 0.000 0.750 0.500
Cu4 0.500 0.250 0.000
In2 0.500 0.500 0.500
Au3 0.250 0.500 0.000
Cu5 0.750 0.000 0.500
Au4 0.500 0.000 0.250
Cu6 0.000 0.500 0.750
Au5 0.500 0.000 0.750
Au6 0.000 0.250 0.500

**E**: -0.113 Ha/atom
**ΔH_f (0 K)**: 0.48 eV/atom
**SG**: No. 223


Crystalline Na4Tb3NdS8 at its relaxed geometry, computed with GGA-PBE.

Cell: 8.076 8.154 8.076 Å, 119.71 120.00 90.00°
Fractional positions:
Na1 0.500 0.000 0.000
Na2 0.000 0.000 0.000
S1 0.737 0.730 0.983
S2 0.247 0.730 0.493
Na3 0.500 0.000 0.500
S3 0.753 0.270 0.017
Tb1 0.500 0.500 0.000
Tb2 0.500 0.500 0.500
S4 0.247 0.730 0.983
Nd1 0.000 0.500 0.000
S5 0.753 0.270 0.507
S6 0.258 0.273 0.515
Tb3 0.000 0.500 0.500
S7 0.263 0.270 0.017
S8 0.742 0.727 0.485
Na4 0.000 0.000 0.500

**E**: -0.198 Ha/atom
**Raw formation energy**: -1.83 eV/atom
**SG**: No. 166


Crystalline NaNp4Se5 at its relaxed geometry, computed with GGA-PBE.

Cell: 4.103 5.812 10.997 Å, 105.32 100.75 90.00°
Site moments in Bohr magnetons follow the coordinates.
Fractional positions:
Se1 0.000 0.500 0.000  -0.09
Np1 0.798 0.798 0.595  4.08
Se2 0.198 0.698 0.396  -0.08
Se3 0.802 0.302 0.604  -0.08
Na1 0.000 0.000 0.000  0.00
Se4 0.604 0.104 0.207  -0.08
Np2 0.600 0.600 0.199  4.09
Np3 0.400 0.400 0.801  4.09
Np4 0.202 0.202 0.405  4.08
Se5 0.396 0.896 0.793  -0.08

**E**: -0.300 Ha/atom
**Raw formation energy**: -1.11 eV/atom
**SG**: No. 71


Crystalline BaPuHgPb at its relaxed geometry, computed with GGA-PBE.

Cell: 5.747 5.747 5.747 Å, 60.00 60.00 60.00°
Site moments in Bohr magnetons follow the coordinates.
Fractional positions:
Hg1 0.750 0.750 0.750  0.04
Ba1 0.500 0.500 0.500  0.03
Pb1 0.250 0.250 0.250  -0.07
Pu1 0.000 0.000 0.000  5.63

**E**: -0.195 Ha/atom
**ΔH_f (0 K)**: -0.24 eV/atom
**SG**: No. 216


Crystalline LaDy2Er2Tm at its relaxed geometry, computed with GGA-PBE.

Cell: 3.520 16.041 6.905 Å, 90.00 90.00 90.00°
Fractional positions:
Dy1 0.000 0.342 0.248
Er1 0.000 0.344 0.751
Tm1 0.500 0.500 0.000
Dy2 0.500 0.842 0.252
Dy3 0.000 0.658 0.752
Tm2 0.000 0.000 0.500
Er2 0.500 0.844 0.749
La1 0.500 0.500 0.500
Dy4 0.500 0.158 0.748
Er3 0.000 0.656 0.249
La2 0.000 0.000 0.000
Er4 0.500 0.156 0.251

**E**: -0.164 Ha/atom
**ΔH_f (0 K)**: 0.17 eV/atom
**SG**: No. 58


Crystalline KAgCl3 at its relaxed geometry, computed with GGA-PBE.

Cell: 9.265 4.478 8.271 Å, 90.69 115.05 107.02°
Fractional positions:
Cl1 0.478 0.971 0.301
K1 0.315 0.380 0.971
Cl2 0.527 0.625 0.697
Cl3 0.919 0.245 0.820
Ag1 0.810 0.852 0.973
Ag2 0.324 0.875 0.480
K2 0.778 0.664 0.503
Cl4 0.174 0.801 0.663
Cl5 0.093 0.999 0.231
Cl6 0.704 0.429 0.113

**E**: -0.107 Ha/atom
**Raw formation energy**: -1.01 eV/atom
**SG**: No. 1


Crystalline Th8Co2Rh at its relaxed geometry, computed with GGA-PBE.

Cell: 6.104 7.693 7.693 Å, 118.43 98.89 98.89°
Fractional positions:
Th1 0.361 0.901 0.639
Rh1 0.189 0.006 0.006
Th2 0.583 0.364 0.108
Th3 0.793 0.643 0.643
Th4 0.965 0.761 0.186
Th5 0.583 0.108 0.364
Co1 0.521 0.322 0.741
Th6 0.361 0.639 0.901
Th7 0.158 0.364 0.364
Co2 0.521 0.741 0.322
Th8 0.965 0.186 0.761

**E**: -0.275 Ha/atom
**ΔH_f (0 K)**: -0.13 eV/atom
**SG**: No. 8


Crystalline LaRhNO2 at its relaxed geometry, computed with GGA-PBE.

Cell: 4.147 4.147 3.767 Å, 90.00 90.00 90.00°
Fractional positions:
La1 0.500 0.500 0.500
O1 0.500 0.000 0.000
N1 0.000 0.000 0.500
O2 0.000 0.500 0.000
Rh1 0.000 0.000 0.000

**E**: -0.271 Ha/atom
**Raw formation energy**: -1.27 eV/atom
**SG**: No. 123


Crystalline La3Ir at its relaxed geometry, computed with GGA-PBE.

Cell: 3.999 3.999 9.788 Å, 90.00 90.00 120.00°
Fractional positions:
Ir1 0.000 0.000 0.000
La1 0.333 0.667 0.180
La2 0.333 0.667 0.820
La3 0.000 0.000 0.500

**E**: -0.227 Ha/atom
**ΔH_f (0 K)**: -0.27 eV/atom
**SG**: No. 187


Crystalline Dy3Er4Sc4 at its relaxed geometry, computed with GGA-PBE.

Cell: 3.378 5.396 17.454 Å, 81.14 84.43 90.00°
Fractional positions:
Dy1 0.000 0.000 0.000
Dy2 0.862 0.361 0.276
Er1 0.683 0.183 0.636
Dy3 0.138 0.639 0.724
Sc1 0.592 0.092 0.816
Sc2 0.734 0.734 0.532
Er2 0.547 0.547 0.906
Sc3 0.266 0.266 0.468
Er3 0.453 0.453 0.094
Er4 0.317 0.817 0.364
Sc4 0.408 0.908 0.184

**E**: -0.189 Ha/atom
**ΔH_f (0 K)**: 0.07 eV/atom
**SG**: No. 2


Crystalline RbNbIr2Pt at its relaxed geometry, computed with GGA-PBE.

Cell: 5.057 4.880 5.057 Å, 90.00 90.00 90.00°
Site moments in Bohr magnetons follow the coordinates.
Fractional positions:
Pt1 0.000 0.000 0.000  0.22
Ir1 0.500 0.000 0.000  0.55
Ir2 0.000 0.000 0.500  1.00
Rb1 0.500 0.500 0.500  0.01
Nb1 0.000 0.500 0.000  1.26

**E**: -0.204 Ha/atom
**ΔH_f (0 K)**: 1.40 eV/atom
**SG**: No. 123


Crystalline Ba2Sb2H4Au at its relaxed geometry, computed with GGA-PBE.

Cell: 6.678 6.678 6.678 Å, 90.10 119.94 119.94°
Fractional positions:
H1 0.000 0.176 0.824
Au1 0.000 0.000 0.000
Ba1 0.500 0.750 0.250
Ba2 0.500 0.250 0.750
Sb1 0.000 0.353 0.353
H2 0.647 0.824 0.824
H3 0.000 0.824 0.176
H4 0.353 0.176 0.176
Sb2 0.000 0.647 0.647

**E**: -0.129 Ha/atom
**SG**: No. 139


Crystalline PrNCl3 at its relaxed geometry, computed with GGA-PBE.

Cell: 7.581 7.580 8.232 Å, 90.00 62.59 59.99°
Site moments in Bohr magnetons follow the coordinates.
Fractional positions:
Cl1 0.549 0.180 0.985  0.01
Pr1 0.046 0.932 0.740  0.00
Cl2 0.877 0.016 0.494  0.01
Pr2 0.380 0.265 0.739  0.00
Cl3 0.049 0.180 0.985  0.01
N1 0.529 0.691 0.016  1.94
Cl4 0.377 0.016 0.494  0.01
Cl5 0.377 0.516 0.494  0.01
Cl6 0.049 0.680 0.986  0.01
N2 0.898 0.506 0.463  1.94

**E**: -0.165 Ha/atom
**Raw formation energy**: -0.76 eV/atom
**SG**: No. 166


Crystalline DyHoCdCo at its relaxed geometry, computed with GGA-PBE.

Cell: 5.018 5.018 5.018 Å, 60.00 60.00 60.00°
Site moments in Bohr magnetons follow the coordinates.
Fractional positions:
Co1 0.250 0.250 0.250  1.04
Ho1 0.500 0.500 0.500  -0.18
Dy1 0.000 0.000 0.000  -0.17
Cd1 0.750 0.750 0.750  -0.01

**E**: -0.163 Ha/atom
**ΔH_f (0 K)**: -0.15 eV/atom
**SG**: No. 216


Crystalline CePrTh2 at its relaxed geometry, computed with GGA-PBE.

Cell: 3.556 3.556 10.060 Å, 90.00 90.00 90.00°
Fractional positions:
Pr1 0.500 0.500 0.500
Th1 0.000 0.000 0.237
Ce1 0.500 0.500 0.000
Th2 0.000 0.000 0.763

**E**: -0.233 Ha/atom
**ΔH_f (0 K)**: 0.05 eV/atom
**SG**: No. 123


Crystalline Mo3Cl at its relaxed geometry, computed with GGA-PBE.

Cell: 3.017 3.017 7.140 Å, 90.00 90.00 90.00°
Fractional positions:
Cl1 0.000 0.000 0.000
Mo1 0.000 0.000 0.500
Mo2 0.500 0.500 0.269
Mo3 0.500 0.500 0.731

**E**: -0.302 Ha/atom
**Raw formation energy**: 0.36 eV/atom
**SG**: No. 123


Crystalline CaCd3Ru at its relaxed geometry, computed with GGA-PBE.

Cell: 5.658 5.658 5.658 Å, 90.00 90.00 90.00°
Site moments in Bohr magnetons follow the coordinates.
Fractional positions:
Cd1 0.000 0.000 0.500  -0.02
Ca1 0.000 0.000 0.000  -0.06
Ru1 0.500 0.500 0.500  2.54
Cd2 0.000 0.500 0.000  -0.02
Cd3 0.500 0.000 0.000  0.00

**E**: -0.049 Ha/atom
**ΔH_f (0 K)**: 1.47 eV/atom
**SG**: No. 221